CsNa3TlHg | GGA-PBE | optimized geometry

extended XYZ file:
```
12
Lattice="4.299 -8.066 0.000 4.299 8.066 0.000 0.000 0.000 7.121" Properties=species:S:1:pos:R:3 pbc="T T T"
Cs 4.299 4.404 5.341
Cs 4.299 -4.404 1.780
Na 1.687 0.000 0.000
Na 1.687 0.000 3.561
Na 4.299 2.505 1.780
Na 4.299 -2.505 5.341
Na 6.911 0.000 0.000
Na 6.911 0.000 3.561
Tl 4.299 0.626 5.341
Tl 4.299 -0.626 1.780
Hg 4.299 5.798 1.780
Hg 4.299 -5.798 5.341
```

Space-group type: Cmcm (63)
Total magnetization: 0.00 μB per formula unit
E_form: -0.0654 eV per atom

Cs2NaYHg | GGA-PBE | optimized geometry

extended XYZ file:
```
5
Lattice="7.760 0.000 0.000 0.000 7.760 0.000 0.000 0.000 6.696" Properties=species:S:1:pos:R:3 pbc="T T T"
Cs 0.000 3.880 0.000
Cs 3.880 0.000 0.000
Na 0.000 0.000 3.348
Y 0.000 0.000 0.000
Hg 3.880 3.880 3.348
```

Space-group type: P4/mmm (123)
Total magnetization: 3.02 μB per formula unit
E_form: 0.6858 eV per atom

CsNa2ZnHg | GGA-PBE | optimized geometry

extended XYZ file:
```
5
Lattice="5.886 0.000 0.000 0.000 5.886 0.000 0.000 0.000 5.711" Properties=species:S:1:pos:R:3 pbc="T T T"
Cs 0.000 0.000 0.000
Na 0.000 2.943 2.856
Na 2.943 0.000 2.856
Zn 2.943 2.943 2.856
Hg 2.943 2.943 0.000
```

Space-group type: P4/mmm (123)
Total magnetization: 0.00 μB per formula unit
E_form: 0.0097 eV per atom
Energy above the lowest structure with this stoichiometry: 0 meV/atom

Summary of DOS at the Fermi energy in states/eV/cell
6.5, 6.8, 2.6
(order as listed above)
Summary of total energy in eV per atom
-1.31, -1.27, -1.00
(order as listed above)